Entry from Alexandria via LeMat-Bulk: a relaxed structure of GaFeSeBr2 (GGA-PBEsol).

- raw total energy (eV per atom) = -3.52
- formation energy (no corrections) (eV/atom) = 0.4621
- calculated volume (A^3/atom) = 24.89

Cell lengths 4.960, 4.960, 5.058 Å; angles 90.00, 90.00, 90.00 degrees
Sites, in units of the cell vectors:
Se 0.000 0.000 0.500
Ga 0.000 0.000 0.000
Br 0.500 0.000 0.000
Br 0.000 0.500 0.000
Fe 0.500 0.500 0.500

***

Entry from Alexandria via LeMat-Bulk: a relaxed structure of TlGaFeBr2 (GGA-PBEsol).

- raw total energy (eV per atom) = -2.93
- formation energy (no corrections) (eV/atom) = 0.8022
- calculated volume (A^3/atom) = 34.93

Cell lengths 5.271, 5.756, 5.756 Å; angles 90.00, 90.00, 90.00 degrees
Sites, in units of the cell vectors:
Br 0.000 0.000 0.500
Br 0.000 0.500 0.000
Tl 0.000 0.000 0.000
Fe 0.500 0.500 0.500
Ga 0.500 0.000 0.000

***

Entry from Alexandria via LeMat-Bulk: a relaxed structure of FeSiH2Br (GGA-PBEsol).

- raw total energy (eV per atom) = -3.91
- calculated volume (A^3/atom) = 13.74

Cell lengths 3.506, 3.506, 5.590 Å; angles 90.00, 90.00, 90.00 degrees
Sites, in units of the cell vectors:
Br 0.000 0.000 0.500
H 0.000 0.500 0.000
H 0.500 0.000 0.000
Fe 0.500 0.500 0.500
Si 0.000 0.000 0.000

***

Entry from Alexandria via LeMat-Bulk: a relaxed structure of FeHg2Br (GGA-PBEsol).

- raw total energy (eV per atom) = -2.80
- formation energy (no corrections) (eV/atom) = 0.1921
- polymorph energy (0 for the lowest one) (eV/f.u.) = 0.046
- calculated volume (A^3/atom) = 21.11

Cell lengths 3.110, 3.110, 8.731 Å; angles 90.00, 90.00, 90.00 degrees
Sites, in units of the cell vectors:
Hg 0.000 0.000 0.949
Hg 0.500 0.500 0.235
Fe 0.500 0.500 0.741
Br 0.000 0.000 0.576

***

Entry from Alexandria via LeMat-Bulk: a relaxed structure of Fe2HgBr (GGA-PBEsol).

- raw total energy (eV per atom) = -4.63
- formation energy (no corrections) (eV/atom) = 0.4591
- polymorph energy (0 for the lowest one) (eV/f.u.) = 0.000
- calculated volume (A^3/atom) = 18.82

Cell lengths 3.135, 4.092, 6.516 Å; angles 101.81, 90.00, 112.52 degrees
Sites, in units of the cell vectors:
Br 0.744 0.489 0.155
Hg 0.507 0.013 0.578
Fe 0.259 0.517 0.814
Fe 0.990 0.981 0.953

***

Entry from Alexandria via LeMat-Bulk: a relaxed structure of FeHg2Br (GGA-PBEsol).

- raw total energy (eV per atom) = -2.57
- formation energy (no corrections) (eV/atom) = 0.4209
- polymorph energy (0 for the lowest one) (eV/f.u.) = 0.961
- calculated volume (A^3/atom) = 20.78

Cell lengths 3.334, 5.455, 5.322 Å; angles 59.17, 89.94, 89.88 degrees
Sites, in units of the cell vectors:
Fe 0.500 0.500 0.000
Br 0.500 0.000 0.000
Hg 0.000 0.000 0.500
Hg 0.000 0.500 0.500

***

Entry from Alexandria via LeMat-Bulk: a relaxed structure of Fe2HgBr (GGA-PBEsol).

- raw total energy (eV per atom) = -4.35
- formation energy (no corrections) (eV/atom) = 0.7447
- polymorph energy (0 for the lowest one) (eV/f.u.) = 1.143
- calculated volume (A^3/atom) = 17.69

Cell lengths 3.071, 4.281, 5.382 Å; angles 90.00, 90.00, 90.00 degrees
Sites, in units of the cell vectors:
Hg 0.500 0.500 0.000
Fe 0.500 0.000 0.500
Fe 0.000 0.000 0.000
Br 0.000 0.500 0.500

***

Entry from Alexandria via LeMat-Bulk: a relaxed structure of Fe2HgBr (GGA-PBEsol).

- raw total energy (eV per atom) = -4.49
- formation energy (no corrections) (eV/atom) = 0.5968
- polymorph energy (0 for the lowest one) (eV/f.u.) = 0.551
- calculated volume (A^3/atom) = 15.96

Cell lengths 3.060, 3.060, 6.814 Å; angles 90.00, 90.00, 90.00 degrees
Sites, in units of the cell vectors:
Fe 0.000 0.000 0.742
Fe 0.000 0.000 0.258
Br 0.500 0.500 0.500
Hg 0.500 0.500 0.000

***

Entry from Alexandria via LeMat-Bulk: a relaxed structure of FeHg2Br (GGA-PBEsol).

- raw total energy (eV per atom) = -2.81
- formation energy (no corrections) (eV/atom) = 0.1807
- polymorph energy (0 for the lowest one) (eV/f.u.) = 0.000
- calculated volume (A^3/atom) = 22.55

Cell lengths 3.083, 4.640, 6.892 Å; angles 109.67, 102.93, 90.00 degrees
Sites, in units of the cell vectors:
Fe 0.233 0.733 0.467
Hg 0.918 0.918 0.836
Hg 0.768 0.268 0.536
Br 0.580 0.580 0.161

***

Entry from Alexandria via LeMat-Bulk: a relaxed structure of FeI3Br (GGA-PBEsol).

- raw total energy (eV per atom) = -2.19
- formation energy (no corrections) (eV/atom) = 1.0391
- calculated volume (A^3/atom) = 38.75

Cell lengths 5.787, 5.787, 5.787 Å; angles 90.00, 90.00, 90.00 degrees
Sites, in units of the cell vectors:
I 0.000 0.500 0.000
I 0.000 0.000 0.500
I 0.500 0.000 0.000
Fe 0.500 0.500 0.500
Br 0.000 0.000 0.000

***

Entry from Alexandria via LeMat-Bulk: a relaxed structure of FeI2BrO (GGA-PBEsol).

- raw total energy (eV per atom) = -3.73
- formation energy (no corrections) (eV/atom) = 0.1899
- calculated volume (A^3/atom) = 25.72

Cell lengths 3.424, 6.129, 6.129 Å; angles 90.00, 90.00, 90.00 degrees
Sites, in units of the cell vectors:
Br 0.500 0.500 0.500
I 0.000 0.000 0.500
I 0.000 0.500 0.000
O 0.000 0.000 0.000
Fe 0.500 0.000 0.000

***

Entry from Alexandria via LeMat-Bulk: a relaxed structure of FeSb2IBr (GGA-PBEsol).

- raw total energy (eV per atom) = -2.88
- formation energy (no corrections) (eV/atom) = 1.4609
- calculated volume (A^3/atom) = 33.44

Cell lengths 5.460, 5.460, 5.610 Å; angles 90.00, 90.00, 90.00 degrees
Sites, in units of the cell vectors:
Br 0.000 0.000 0.000
Sb 0.000 0.500 0.000
Sb 0.500 0.000 0.000
I 0.000 0.000 0.500
Fe 0.500 0.500 0.500

***

Look up the calculated volume of the fifth one.
18.82 A^3/atom

***

Copy entry 4 word for word.
Entry from Alexandria via LeMat-Bulk: a relaxed structure of FeHg2Br (GGA-PBEsol).

- raw total energy (eV per atom) = -2.80
- formation energy (no corrections) (eV/atom) = 0.1921
- polymorph energy (0 for the lowest one) (eV/f.u.) = 0.046
- calculated volume (A^3/atom) = 21.11

Cell lengths 3.110, 3.110, 8.731 Å; angles 90.00, 90.00, 90.00 degrees
Sites, in units of the cell vectors:
Hg 0.000 0.000 0.949
Hg 0.500 0.500 0.235
Fe 0.500 0.500 0.741
Br 0.000 0.000 0.576